Entry 1:
The following is a DFT calculation (GGA-PBE) of a relaxed AcEr2Se4 crystal.

a = 4.1353 Å, b = 13.3586 Å, c = 13.8869 Å
α = 90.00°, β = 90.00°, γ = 90.00°
Space group Cmcm (No. 63)
One atom of each set of equivalent atoms:
Ac 0.0000 0.1198 0.2500 (multiplicity 4)
Er 0.0000 0.3705 0.0632 (multiplicity 8)
Se 0.0000 0.0000 0.0000 (multiplicity 4)
Se 0.0000 0.2691 0.6167 (multiplicity 8)
Se 0.0000 0.4475 0.2500 (multiplicity 4)

Computed properties:
Calculated volume, A^3/atom: 27.40
Total DFT energy (no corrections), eV per formula unit: -40.50

***

Entry 2:
The following is a DFT calculation (GGA-PBE) of a relaxed AcSmEr crystal.

a = 7.9890 Å, b = 7.9890 Å, c = 7.9890 Å
α = 90.00°, β = 90.00°, γ = 90.00°
Space group F-43m (No. 216)
One atom of each set of equivalent atoms:
Ac 0.0000 0.0000 0.0000 (multiplicity 4)
Sm 0.0000 0.0000 0.5000 (multiplicity 4)
Er 0.2500 0.2500 0.2500 (multiplicity 4)

Computed properties:
Calculated volume, A^3/atom: 42.49
E_form, eV per atom: 0.6586

***

Entry 3:
The following is a DFT calculation (GGA-PBE) of a relaxed SrAcEr crystal.

a = 8.4053 Å, b = 8.4053 Å, c = 8.4053 Å
α = 90.00°, β = 90.00°, γ = 90.00°
Space group F-43m (No. 216)
One atom of each set of equivalent atoms:
Sr 0.0000 0.0000 0.0000 (multiplicity 4)
Ac 0.0000 0.0000 0.5000 (multiplicity 4)
Er 0.2500 0.2500 0.7500 (multiplicity 4)

Computed properties:
Calculated volume, A^3/atom: 49.49
Total DFT energy (no corrections), eV per formula unit: -8.32

***

calculated volume of number 1 (AcEr2Se4)? 27.40 A^3/atom